No. 1
This record from the Open Quantum Materials Database describes a relaxed structure of HfPaPO. The functional is PBE.

## Properties
Raw total energy = -0.611 Ry/atom
Distance to the lowest polymorph of the same formula = 0.587 eV/atom
Symmetry = P4/nmm
Theoretical density = 10.94 g/cm3

Lattice parameters (Å, degrees): 4.170 4.170 7.974 90.00 90.00 90.00
Element x y z (fractional)
Hf  0.250  0.250  0.099
Hf  0.750  0.750  0.901
Pa  0.250  0.750  0.500
Pa  0.750  0.250  0.500
P  0.250  0.250  0.746
P  0.750  0.750  0.254
O  0.250  0.750  0.000
O  0.750  0.250  0.000



No. 2
This record from the Open Quantum Materials Database describes a relaxed structure of HfPaPO. The functional is PBE.

## Properties
Raw total energy = -0.632 Ry/atom
Distance to the lowest polymorph of the same formula = 0.297 eV/atom
Symmetry = Pmc2_1
Theoretical density = 9.07 g/cm3

Lattice parameters (Å, degrees): 3.946 7.300 5.800 90.00 90.00 90.00
Element x y z (fractional)
Hf  0.000  0.102  0.000
Hf  0.000  0.898  0.500
Pa  0.500  0.288  0.488
Pa  0.500  0.712  0.988
P  0.500  0.333  0.981
P  0.500  0.667  0.481
O  0.000  0.167  0.355
O  0.000  0.833  0.855



No. 3
This record from the Open Quantum Materials Database describes a relaxed structure of HfPaPO. The functional is PBE.

## Properties
Raw total energy = -0.654 Ry/atom
Distance to the lowest polymorph of the same formula = 0.000 eV/atom
Symmetry = P4/nmm
Theoretical density = 10.62 g/cm3

Lattice parameters (Å, degrees): 3.995 3.995 8.940 90.00 90.00 90.00
Element x y z (fractional)
Hf  0.250  0.750  0.000
Hf  0.750  0.250  0.000
Pa  0.250  0.250  0.352
Pa  0.750  0.750  0.648
P  0.250  0.250  0.797
P  0.750  0.750  0.203
O  0.250  0.750  0.500
O  0.750  0.250  0.500



No. 4
This record from the Open Quantum Materials Database describes a relaxed structure of PrHfPO. The functional is PBE.

## Properties
Raw total energy = -0.562 Ry/atom
Distance to the lowest polymorph of the same formula = 0.583 eV/atom
Symmetry = P4/nmm
Theoretical density = 8.43 g/cm3

Lattice parameters (Å, degrees): 4.186 4.186 8.240 90.00 90.00 90.00
Element x y z (fractional)
Pr  0.250  0.750  0.000
Pr  0.750  0.250  0.000
Hf  0.250  0.250  0.410
Hf  0.750  0.750  0.590
P  0.250  0.250  0.749
P  0.750  0.750  0.251
O  0.250  0.750  0.500
O  0.750  0.250  0.500



No. 5
This record from the Open Quantum Materials Database describes a relaxed structure of PrHfPO. The functional is PBE.

## Properties
Raw total energy = -0.605 Ry/atom
Distance to the lowest polymorph of the same formula = 0.000 eV/atom
Symmetry = P4/nmm
Theoretical density = 7.76 g/cm3

Lattice parameters (Å, degrees): 4.211 4.211 8.841 90.00 90.00 90.00
Element x y z (fractional)
Pr  0.250  0.250  0.127
Pr  0.750  0.750  0.873
Hf  0.250  0.750  0.500
Hf  0.750  0.250  0.500
P  0.250  0.250  0.672
P  0.750  0.750  0.328
O  0.250  0.750  0.000
O  0.750  0.250  0.000



No. 6
This record from the Open Quantum Materials Database describes a relaxed structure of PrHfPO. The functional is PBE.

## Properties
Raw total energy = -0.591 Ry/atom
Distance to the lowest polymorph of the same formula = 0.181 eV/atom
Symmetry = Pmc2_1
Theoretical density = 6.83 g/cm3

Lattice parameters (Å, degrees): 4.240 7.034 5.970 90.00 90.00 90.00
Element x y z (fractional)
Pr  0.000  0.208  0.000
Pr  0.000  0.792  0.500
Hf  0.500  0.384  0.561
Hf  0.500  0.616  0.061
P  0.000  0.197  0.495
P  0.000  0.803  0.995
O  0.500  0.357  0.902
O  0.500  0.643  0.402